A relaxed SeIBr crystal, computed with PBE.

```
data_SeIBr
_chemical_formula_sum 'Se2 I2 Br2'
_cell_length_a 3.599
_cell_length_b 6.359
_cell_length_c 11.448
_cell_angle_alpha 95.22
_cell_angle_beta 98.83
_cell_angle_gamma 106.12
_space_group_name_H-M_alt 'P 1'
_space_group_IT_number 1
loop_
_space_group_symop_operation_xyz
'x,y,z'
loop_
_atom_site_label
_atom_site_type_symbol
_atom_site_fract_x
_atom_site_fract_y
_atom_site_fract_z
Se1 Se 0.000 0.000 0.000
Se2 Se 0.344 0.731 0.949
I1 I 0.675 0.761 0.549
I2 I 0.727 0.047 0.370
Br1 Br 0.620 0.482 0.716
Br2 Br 0.709 0.339 0.084
```

Output
Total magnetic moment = 0.000 μB/atom
Distance to the lowest polymorph of the same formula = 104.5 meV per atom
Calculated density = 3854 kg/m³



A relaxed SeI2Br crystal, computed with PBE.

```
data_SeI2Br
_chemical_formula_sum 'Se4 I8 Br4'
_cell_length_a 10.024
_cell_length_b 9.418
_cell_length_c 8.819
_cell_angle_alpha 90.00
_cell_angle_beta 91.47
_cell_angle_gamma 90.00
_space_group_name_H-M_alt 'P 1 21/c 1'
_space_group_IT_number 14
loop_
_space_group_symop_operation_xyz
'x,y,z'
'-x,-y,-z'
'-x,y+1/2,-z+1/2'
'x,-y+1/2,z+1/2'
loop_
_atom_site_label
_atom_site_type_symbol
_atom_site_fract_x
_atom_site_fract_y
_atom_site_fract_z
Se1 Se 0.099 0.069 0.004
I1 I 0.073 0.249 0.254
I2 I 0.418 0.749 0.997
Br1 Br 0.419 0.579 0.247
```

Output
Total magnetic moment = 0.000 μB/atom
Distance to the lowest polymorph of the same formula = 0.0 meV per atom
Calculated density = 3293 kg/m³



A relaxed SeIBr crystal, computed with PBE.

```
data_SeIBr
_chemical_formula_sum 'Se2 I2 Br2'
_cell_length_a 5.277
_cell_length_b 5.604
_cell_length_c 9.629
_cell_angle_alpha 103.39
_cell_angle_beta 102.47
_cell_angle_gamma 98.93
_space_group_name_H-M_alt 'P 1'
_space_group_IT_number 1
loop_
_space_group_symop_operation_xyz
'x,y,z'
loop_
_atom_site_label
_atom_site_type_symbol
_atom_site_fract_x
_atom_site_fract_y
_atom_site_fract_z
Se1 Se 0.000 0.000 0.000
Se2 Se 0.166 0.912 0.803
I1 I 0.195 0.301 0.423
I2 I 0.398 0.480 0.214
Br1 Br 0.589 0.642 0.931
Br2 Br 0.896 0.092 0.622
```

Output
Total magnetic moment = 0.000 μB/atom
Distance to the lowest polymorph of the same formula = 23.6 meV per atom
Calculated density = 3594 kg/m³



A relaxed SeIBr crystal, computed with PBE.

```
data_SeIBr
_chemical_formula_sum 'Se2 I2 Br2'
_cell_length_a 5.285
_cell_length_b 6.996
_cell_length_c 8.680
_cell_angle_alpha 100.55
_cell_angle_beta 103.81
_cell_angle_gamma 105.55
_space_group_name_H-M_alt 'P 1'
_space_group_IT_number 1
loop_
_space_group_symop_operation_xyz
'x,y,z'
loop_
_atom_site_label
_atom_site_type_symbol
_atom_site_fract_x
_atom_site_fract_y
_atom_site_fract_z
Se1 Se 0.000 0.000 0.000
Se2 Se 0.099 0.707 0.943
I1 I 0.476 0.186 0.302
I2 I 0.501 0.552 0.522
Br1 Br 0.533 0.914 0.740
Br2 Br 0.847 0.479 0.074
```

Output
Total magnetic moment = 0.000 μB/atom
Distance to the lowest polymorph of the same formula = 18.8 meV per atom
Calculated density = 3277 kg/m³



A relaxed Se4IBr crystal, computed with PBE.

```
data_Se4IBr
_chemical_formula_sum 'Se4 I1 Br1'
_cell_length_a 5.858
_cell_length_b 3.597
_cell_length_c 9.754
_cell_angle_alpha 90.00
_cell_angle_beta 100.15
_cell_angle_gamma 90.00
_space_group_name_H-M_alt 'P 1 m 1'
_space_group_IT_number 6
loop_
_space_group_symop_operation_xyz
'x,y,z'
'x,-y,z'
loop_
_atom_site_label
_atom_site_type_symbol
_atom_site_fract_x
_atom_site_fract_y
_atom_site_fract_z
Se1 Se 0.000 0.000 0.000
Se2 Se 0.015 0.500 0.415
Se3 Se 0.772 0.500 0.868
Se4 Se 0.798 0.000 0.277
I1 I 0.354 0.000 0.612
Br1 Br 0.348 0.500 0.132
```

Output
Total magnetic moment = 0.000 μB/atom
Calculated density = 4291 kg/m³
E = -16.62 eV/f.u.



A relaxed SeIBr crystal, computed with PBE.

```
data_SeIBr
_chemical_formula_sum 'Se2 I2 Br2'
_cell_length_a 6.890
_cell_length_b 6.893
_cell_length_c 6.970
_cell_angle_alpha 85.45
_cell_angle_beta 88.01
_cell_angle_gamma 83.22
_space_group_name_H-M_alt 'P 1'
_space_group_IT_number 1
loop_
_space_group_symop_operation_xyz
'x,y,z'
loop_
_atom_site_label
_atom_site_type_symbol
_atom_site_fract_x
_atom_site_fract_y
_atom_site_fract_z
Se1 Se 0.000 0.000 0.000
Se2 Se 0.077 0.303 0.067
I1 I 0.395 0.941 0.215
I2 I 0.743 0.933 0.412
Br1 Br 0.139 0.956 0.674
Br2 Br 0.810 0.529 0.945
```

Output
Total magnetic moment = 0.000 μB/atom
Distance to the lowest polymorph of the same formula = 21.6 meV per atom
Calculated density = 2897 kg/m³



A relaxed SeIBr crystal, computed with PBE.

```
data_SeIBr
_chemical_formula_sum 'Se2 I2 Br2'
_cell_length_a 4.762
_cell_length_b 6.759
_cell_length_c 9.241
_cell_angle_alpha 75.13
_cell_angle_beta 82.20
_cell_angle_gamma 74.55
_space_group_name_H-M_alt 'P 1'
_space_group_IT_number 1
loop_
_space_group_symop_operation_xyz
'x,y,z'
loop_
_atom_site_label
_atom_site_type_symbol
_atom_site_fract_x
_atom_site_fract_y
_atom_site_fract_z
Se1 Se 0.000 0.000 0.000
Se2 Se 0.324 0.789 0.861
I1 I 0.525 0.434 0.445
I2 I 0.871 0.110 0.642
Br1 Br 0.185 0.901 0.246
Br2 Br 0.190 0.456 0.919
```

Output
Total magnetic moment = 0.000 μB/atom
Distance to the lowest polymorph of the same formula = 38.0 meV per atom
Calculated density = 3434 kg/m³



A relaxed SeI2Br crystal, computed with PBE.

```
data_SeI2Br
_chemical_formula_sum 'Se4 I8 Br4'
_cell_length_a 7.708
_cell_length_b 7.708
_cell_length_c 7.708
_cell_angle_alpha 90.00
_cell_angle_beta 90.00
_cell_angle_gamma 90.00
_space_group_name_H-M_alt 'F m -3 m'
_space_group_IT_number 225
_space_group_name_Hall '-F 4 2 3'
loop_
_atom_site_label
_atom_site_type_symbol
_atom_site_fract_x
_atom_site_fract_y
_atom_site_fract_z
Se1 Se 0.000 0.000 0.000
I1 I 0.250 0.250 0.250
Br1 Br 0.000 0.000 0.500
```

Output
Total magnetic moment = 0.000 μB/atom
Distance to the lowest polymorph of the same formula = 601.9 meV per atom
Calculated density = 5986 kg/m³



A relaxed SeIBr crystal, computed with PBE.

```
data_SeIBr
_chemical_formula_sum 'Se2 I2 Br2'
_cell_length_a 5.045
_cell_length_b 6.560
_cell_length_c 9.655
_cell_angle_alpha 94.77
_cell_angle_beta 102.00
_cell_angle_gamma 112.12
_space_group_name_H-M_alt 'P 1'
_space_group_IT_number 1
loop_
_space_group_symop_operation_xyz
'x,y,z'
loop_
_atom_site_label
_atom_site_type_symbol
_atom_site_fract_x
_atom_site_fract_y
_atom_site_fract_z
Se1 Se 0.000 0.000 0.000
Se2 Se 0.021 0.299 0.144
I1 I 0.596 0.895 0.748
I2 I 0.840 0.276 0.594
Br1 Br 0.038 0.615 0.456
Br2 Br 0.399 0.619 0.098
```

Output
Total magnetic moment = 0.000 μB/atom
Distance to the lowest polymorph of the same formula = 37.9 meV per atom
Calculated density = 3331 kg/m³



A relaxed SeIBr crystal, computed with PBE.

```
data_SeIBr
_chemical_formula_sum 'Se2 I2 Br2'
_cell_length_a 8.875
_cell_length_b 3.831
_cell_length_c 7.775
_cell_angle_alpha 90.00
_cell_angle_beta 112.80
_cell_angle_gamma 90.00
_space_group_name_H-M_alt 'C 1 m 1'
_space_group_IT_number 8
loop_
_space_group_symop_operation_xyz
'x,y,z'
'x,-y,z'
'x+1/2,y+1/2,z'
'x+1/2,-y+1/2,z'
loop_
_atom_site_label
_atom_site_type_symbol
_atom_site_fract_x
_atom_site_fract_y
_atom_site_fract_z
Se1 Se 0.000 0.000 0.000
I1 I 0.416 0.000 0.720
Br1 Br 0.077 0.500 0.258
```

Output
Total magnetic moment = 0.000 μB/atom
Distance to the lowest polymorph of the same formula = 98.7 meV per atom
Calculated density = 3894 kg/m³



A relaxed SeIBr crystal, computed with PBE.

```
data_SeIBr
_chemical_formula_sum 'Se2 I2 Br2'
_cell_length_a 6.101
_cell_length_b 6.862
_cell_length_c 7.588
_cell_angle_alpha 70.69
_cell_angle_beta 78.69
_cell_angle_gamma 78.37
_space_group_name_H-M_alt 'P 1'
_space_group_IT_number 1
loop_
_space_group_symop_operation_xyz
'x,y,z'
loop_
_atom_site_label
_atom_site_type_symbol
_atom_site_fract_x
_atom_site_fract_y
_atom_site_fract_z
Se1 Se 0.000 0.000 0.000
Se2 Se 0.132 0.307 0.998
I1 I 0.210 0.535 0.639
I2 I 0.761 0.531 0.116
Br1 Br 0.346 0.791 0.257
Br2 Br 0.726 0.161 0.790
```

Output
Total magnetic moment = 0.000 μB/atom
Distance to the lowest polymorph of the same formula = 0.0 meV per atom
Calculated density = 3264 kg/m³



A relaxed Se2IBr crystal, computed with PBE.

```
data_Se2IBr
_chemical_formula_sum 'Se6 I3 Br3'
_cell_length_a 4.2126
_cell_length_b 4.2126
_cell_length_c 26.5324
_cell_angle_alpha 90.00
_cell_angle_beta 90.00
_cell_angle_gamma 120.00
_space_group_name_H-M_alt 'R -3 m'
_space_group_IT_number 166
_space_group_name_Hall '-R 3 2"'
loop_
_atom_site_label
_atom_site_type_symbol
_atom_site_fract_x
_atom_site_fract_y
_atom_site_fract_z
Se1 Se 0.0000 0.0000 0.0981
I1 I 0.0000 0.0000 0.5000
Br1 Br 0.0000 0.0000 0.0000
```

Output
Total magnetic moment = 0.000 μB/atom
Distance to the lowest polymorph of the same formula = 424.0 meV per atom
Calculated density = 4456 kg/m³